First-principles (PBE-GGA) data for an optimized crystal structure of Pm2AgPd, as listed in Alexandria via LeMat-Bulk.

abc: 4.2031 4.2031 21.8350
angles: 90.00 90.00 120.00
Sites, in units of the cell vectors:
Pm (0.0000, 0.0000, 0.0000)
Pm (0.0000, 0.0000, 0.1856)
Pm (0.3333, 0.6667, 0.6667)
Pm (0.3333, 0.6667, 0.8522)
Pm (0.6667, 0.3333, 0.3333)
Pm (0.6667, 0.3333, 0.5189)
Ag (0.0000, 0.0000, 0.7579)
Ag (0.3333, 0.6667, 0.4246)
Ag (0.6667, 0.3333, 0.0913)
Pd (0.0000, 0.0000, 0.5942)
Pd (0.3333, 0.6667, 0.2609)
Pd (0.6667, 0.3333, 0.9276)

Output
theoretical density	7.52	Mg/m³
energy	-4.79	eV/atom
space-group type	R3m (160)
volume	27.8	Å³ per atom

---

First-principles (PBE-GGA) data for an optimized crystal structure of CdSb4Ru, as listed in Alexandria via LeMat-Bulk.

abc: 6.1245 6.1245 6.1245
angles: 60.00 60.00 60.00
Sites, in units of the cell vectors:
Cd (0.0000, 0.0000, 0.0000)
Sb (0.3750, 0.3750, 0.3750)
Sb (0.3750, 0.3750, 0.8750)
Sb (0.3750, 0.8750, 0.3750)
Sb (0.8750, 0.3750, 0.3750)
Ru (0.7500, 0.7500, 0.7500)

Output
theoretical density	7.16	Mg/m³
space-group type	F-43m (216)
uncorrected formation energy	0.84	eV per atom
volume	27.1	Å³ per atom

---

First-principles (PBE-GGA) data for an optimized crystal structure of Pm5NdHo2Tm, as listed in Alexandria via LeMat-Bulk.

abc: 10.5036 10.5036 10.6309
angles: 90.00 90.00 148.63
Sites, in units of the cell vectors:
Pm (0.0174, 0.9826, 0.5000)
Pm (0.2801, 0.7199, 0.7945)
Pm (0.2976, 0.7024, 0.1876)
Pm (0.3849, 0.6151, 0.5021)
Pm (0.4806, 0.5194, 0.2211)
Pm (0.5194, 0.4806, 0.7211)
Pm (0.6151, 0.3849, 0.0021)
Pm (0.7024, 0.2976, 0.6876)
Pm (0.7199, 0.2801, 0.2945)
Pm (0.9826, 0.0174, 0.0000)
Nd (0.4124, 0.5876, 0.9351)
Nd (0.5876, 0.4124, 0.4351)
Ho (0.1133, 0.8867, 0.2150)
Ho (0.1153, 0.8847, 0.7964)
Ho (0.8847, 0.1153, 0.2964)
Ho (0.8867, 0.1133, 0.7150)
Tm (0.1989, 0.8011, 0.4917)
Tm (0.8011, 0.1989, 0.9917)

Output
theoretical density	7.44	Mg/m³
energy	-4.53	eV/atom
space-group type	Cmc2_1 (36)
volume	33.9	Å³ per atom

---

First-principles (PBE-GGA) data for an optimized crystal structure of TiICl2, as listed in Alexandria via LeMat-Bulk.

abc: 3.4088 3.4088 35.8674
angles: 90.00 90.00 120.00
Sites, in units of the cell vectors:
Ti (0.0000, 0.0000, 0.0000)
Ti (0.3333, 0.6667, 0.6667)
Ti (0.6667, 0.3333, 0.3333)
I (0.0000, 0.0000, 0.5000)
I (0.3333, 0.6667, 0.1667)
I (0.6667, 0.3333, 0.8333)
Cl (0.0000, 0.0000, 0.0609)
Cl (0.0000, 0.0000, 0.9391)
Cl (0.3333, 0.6667, 0.6058)
Cl (0.3333, 0.6667, 0.7276)
Cl (0.6667, 0.3333, 0.2724)
Cl (0.6667, 0.3333, 0.3942)

Output
theoretical density	3.39	Mg/m³
space-group type	R-3m (166)
uncorrected formation energy	-0.50	eV per atom
volume	30.1	Å³ per atom

---

First-principles (PBE-GGA) data for an optimized crystal structure of Ac4IrSeCl2, as listed in Alexandria via LeMat-Bulk.

abc: 7.7920 4.3201 8.1301
angles: 90.00 108.92 90.00
Sites, in units of the cell vectors:
Ac (0.2145, 0.0000, 0.2158)
Ac (0.2318, 0.5000, 0.7632)
Ac (0.7682, 0.5000, 0.2368)
Ac (0.7855, 0.0000, 0.7842)
Ir (0.0000, 0.5000, 0.0000)
Se (0.0000, 0.0000, 0.5000)
Cl (0.5000, 0.0000, 0.0000)
Cl (0.5000, 0.5000, 0.5000)

Output
theoretical density	8.02	Mg/m³
space-group type	P2/m (10)
uncorrected formation energy	-1.42	eV per atom
volume	32.4	Å³ per atom

---

First-principles (PBE-GGA) data for an optimized crystal structure of Pm2PrNpSb4, as listed in Alexandria via LeMat-Bulk.

abc: 7.7711 4.4847 7.7715
angles: 90.00 109.35 90.00
Sites, in units of the cell vectors:
Pm (0.0000, 0.0000, 0.0000)
Pm (0.0000, 0.5000, 0.5000)
Pr (0.5000, 0.0000, 0.5000)
Np (0.5000, 0.5000, 0.0000)
Sb (0.2502, 0.5000, 0.2444)
Sb (0.2531, 0.0000, 0.7558)
Sb (0.7469, 0.0000, 0.2442)
Sb (0.7498, 0.5000, 0.7556)

Output
theoretical density	7.50	Mg/m³
space-group type	P2/m (10)
uncorrected formation energy	-0.93	eV per atom
volume	31.9	Å³ per atom

---

First-principles (PBE-GGA) data for an optimized crystal structure of Te2PdNF, as listed in Alexandria via LeMat-Bulk.

abc: 4.8791 4.8791 3.8202
angles: 90.00 90.00 90.00
Sites, in units of the cell vectors:
Te (0.0000, 0.5000, 0.0000)
Te (0.5000, 0.0000, 0.0000)
Pd (0.0000, 0.0000, 0.5000)
N (0.5000, 0.5000, 0.5000)
F (0.5000, 0.5000, 0.0000)

Output
theoretical density	7.21	Mg/m³
space-group type	P4/mmm (123)
uncorrected formation energy	1.04	eV per atom
volume	18.2	Å³ per atom

---

First-principles (PBE-GGA) data for an optimized crystal structure of ScCd2Se, as listed in Alexandria via LeMat-Bulk.

abc: 4.1203 3.8002 6.2011
angles: 90.00 106.53 90.00
Sites, in units of the cell vectors:
Sc (0.0000, 0.0000, 0.0000)
Cd (0.0000, 0.5000, 0.5000)
Cd (0.5000, 0.0000, 0.5000)
Se (0.5000, 0.5000, 0.0000)

Output
theoretical density	6.22	Mg/m³
space-group type	P2/m (10)
uncorrected formation energy	-0.50	eV per atom
volume	23.3	Å³ per atom